1.
# ZnRe2Mo SCAN PBEsol geometry
# Formation energy from the elements in eV per atom: 0.180
# Calculated density in g/cm³: 15.39
data_ZnRe2Mo
_cell_length_a 3.1767
_cell_length_b 3.1767
_cell_length_c 5.7074
_cell_angle_alpha 90.00
_cell_angle_beta 90.00
_cell_angle_gamma 90.00
_symmetry_space_group_name_H-M 'P 4/m m m'
_symmetry_Int_Tables_number 123
_symmetry_space_group_name_Hall '-P 4 2'
loop_
_atom_site_label
_atom_site_fract_x
_atom_site_fract_y
_atom_site_fract_z
_atom_site_occupancy
Zn1 0.0000 0.0000 0.0000 1
Re1 0.5000 0.5000 0.2418 1
Mo1 0.0000 0.0000 0.5000 1

***

2.
# ZrReMo2 SCAN PBEsol geometry
# Formation energy from the elements in eV per atom: -0.050
# Calculated density in g/cm³: 12.08
data_ZrReMo2
_cell_length_a 5.4990
_cell_length_b 8.9779
_cell_length_c 2.7728
_cell_angle_alpha 90.00
_cell_angle_beta 109.54
_cell_angle_gamma 90.00
_symmetry_space_group_name_H-M 'C 1 2/m 1'
_symmetry_Int_Tables_number 12
loop_
_symmetry_equiv_pos_as_xyz
'x,y,z'
'-x,-y,-z'
'-x,y,-z'
'x,-y,z'
'x+1/2,y+1/2,z'
'-x+1/2,-y+1/2,-z'
'-x+1/2,y+1/2,-z'
'x+1/2,-y+1/2,z'
loop_
_atom_site_label
_atom_site_fract_x
_atom_site_fract_y
_atom_site_fract_z
_atom_site_occupancy
Zr1 0.0000 0.0000 0.0000 1
Re1 0.0000 0.5000 0.0000 1
Mo1 0.2500 0.2500 0.5000 1

***

3.
# ZrReMo2 SCAN PBEsol geometry
# Formation energy from the elements in eV per atom: 0.074
# Calculated density in g/cm³: 11.97
data_ZrReMo2
_cell_length_a 3.1479
_cell_length_b 4.5669
_cell_length_c 9.0574
_cell_angle_alpha 90.00
_cell_angle_beta 90.00
_cell_angle_gamma 90.00
_symmetry_space_group_name_H-M 'C m m m'
_symmetry_Int_Tables_number 65
_symmetry_space_group_name_Hall '-C 2 2'
loop_
_atom_site_label
_atom_site_fract_x
_atom_site_fract_y
_atom_site_fract_z
_atom_site_occupancy
Zr1 0.0000 0.0000 0.0000 1
Re1 0.0000 0.0000 0.5000 1
Mo1 0.0000 0.5000 0.2660 1

***

4.
# ZrRe2Mo SCAN PBEsol geometry
# Formation energy from the elements in eV per atom: -0.074
# Calculated density in g/cm³: 14.40
data_ZrRe2Mo
_cell_length_a 3.1517
_cell_length_b 3.1517
_cell_length_c 6.4946
_cell_angle_alpha 90.00
_cell_angle_beta 90.00
_cell_angle_gamma 90.00
_symmetry_space_group_name_H-M 'P 4 m m'
_symmetry_Int_Tables_number 99
loop_
_symmetry_equiv_pos_as_xyz
'x,y,z'
'-y,x,z'
'-x,-y,z'
'y,-x,z'
'-x,y,z'
'y,x,z'
'x,-y,z'
'-y,-x,z'
loop_
_atom_site_label
_atom_site_fract_x
_atom_site_fract_y
_atom_site_fract_z
_atom_site_occupancy
Zr1 0.0000 0.0000 0.0000 1
Re1 0.0000 0.0000 0.4978 1
Re2 0.5000 0.5000 0.7355 1
Mo1 0.5000 0.5000 0.2672 1

***

Number 1: total energy -47.4685 eV/atom. Number 2: total energy -42.9415 eV/atom. Number 3: total energy -42.8176 eV/atom. Number 4: total energy -52.0185 eV/atom.